VHgBiO4 | PBE with a Hubbard U | relaxed

Summary:
- DOS(E_F): 0.0 states/eV/f.u.
- Crystal system: monoclinic
- Symmetry: C2/m
- DFT total energy: -82.1 eV for the cell shown

a = 6.5866 Å, b = 6.5866 Å, c = 6.9058 Å
α = 77.85°, β = 77.85°, γ = 64.80°
Closest atoms and distances in Å follow each position.
Fractional positions:
O 0.5084 0.1258 0.1456  1 V 1.76
O 0.8742 0.4916 0.8544  1 V 1.76
O 0.2789 0.2789 0.5243  1 V 1.73
O 0.5202 0.5202 0.2552  1 V 1.74
O 0.1258 0.5084 0.1456  1 V 1.76
O 0.4798 0.4798 0.7448  1 V 1.74
O 0.4916 0.8742 0.8544  1 V 1.76
O 0.7211 0.7211 0.4757  1 V 1.73
Bi 0.7251 0.7251 0.1489  4 O 2.21-2.40
Bi 0.2749 0.2749 0.8511  4 O 2.21-2.40
V 0.3611 0.3611 0.2766  4 O 1.73-1.76
V 0.6389 0.6389 0.7234  4 O 1.73-1.76
Hg 0.9808 0.9808 0.7335  1 Hg 3.15, 5 O 3.27-3.48, 1 Bi 3.50
Hg 0.0192 0.0192 0.2665  1 Hg 3.15, 5 O 3.27-3.48, 1 Bi 3.50